P2IrAuO | the Alexandria database | PBE | optimized geometry; spin magnetization = 0.00 μB per cell; Fermi-level density of states = 1.351 states/eV per atom; calculated volume = 87.0 Å³/f.u.; formation energy without anion corrections = 1.272 eV/atom; E_tot = -4.311 eV per atom
1.0
-2.818 -0.501 -3.842
-0.489 -4.666 0.968
-3.040 0.761 2.131
P Au O Ir
2 1 1 1
direct
0.000 0.500 0.000
0.500 0.000 0.000
0.000 0.000 0.000
0.000 0.000 0.500
0.500 0.500 0.500

***

P2IrAuO | the Alexandria database | PBE | optimized geometry; spin magnetization = 0.00 μB per cell; Fermi-level density of states = 1.034 states/eV per atom; calculated volume = 85.0 Å³/f.u.; formation energy without anion corrections = 0.328 eV/atom; E_tot = -5.255 eV per atom
1.0
4.807 0.000 0.000
0.000 4.807 0.000
0.000 0.000 3.681
P O Ir Au
2 1 1 1
direct
0.000 0.500 0.000
0.500 0.000 0.000
0.000 0.000 0.500
0.000 0.000 0.000
0.500 0.500 0.500

***

Ir2OsAu | the Alexandria database | PBE | optimized geometry; spin magnetization = 0.00 μB per cell; Fermi-level density of states = 0.878 states/eV per atom; calculated volume = 60.6 Å³/f.u.; ΔH_f (0 K) = 0.386 eV/atom; E_tot = -7.672 eV per atom
1.0
-0.597 -2.113 4.300
-2.601 -4.039 -0.486
3.924 1.626 -2.297
Ir Os Au
2 1 1
direct
0.000 0.000 0.000
0.500 0.500 0.000
0.250 0.750 0.500
0.750 0.250 0.500

***

Ir2OsAu | the Alexandria database | PBE | optimized geometry; spin magnetization = 0.00 μB per cell; Fermi-level density of states = 1.393 states/eV per atom; calculated volume = 61.2 Å³/f.u.; ΔH_f (0 K) = 0.412 eV/atom; E_tot = -7.645 eV per atom
1.0
-2.281 2.218 -3.170
1.747 -0.979 -1.942
-2.887 -3.883 -0.639
Ir Au Os
2 1 1
direct
0.000 0.125 0.973
0.500 0.125 0.293
0.500 0.625 0.786
0.000 0.625 0.447

***

Ir2OsAu | the Alexandria database | PBE | optimized geometry; spin magnetization = 0.00 μB per cell; Fermi-level density of states = 1.119 states/eV per atom; calculated volume = 63.1 Å³/f.u.; ΔH_f (0 K) = 0.495 eV/atom; E_tot = -7.562 eV per atom
1.0
5.591 -0.002 0.000
2.909 4.774 0.000
-3.572 -3.594 2.363
Ir Au Os
2 1 1
direct
0.980 0.980 0.000
0.520 0.520 0.000
0.250 0.750 0.500
0.750 0.250 0.500

***

IrOs4Au | the Alexandria database | PBE | optimized geometry; spin magnetization = 1.30 μB per cell; Fermi-level density of states = 1.897 states/eV per atom; calculated volume = 96.4 Å³/f.u.; ΔH_f (0 K) = 0.989 eV/atom; E_tot = -8.520 eV per atom
1.0
2.188 -4.401 1.529
-1.757 -4.500 -1.775
2.835 -2.747 -3.302
Ir Os Au
1 4 1
direct
0.000 0.000 0.000
0.877 0.374 0.374
0.374 0.374 0.877
0.374 0.877 0.374
0.374 0.374 0.374
0.750 0.750 0.750

***

Ir2Os2Au | the Alexandria database | PBE | optimized geometry; spin magnetization = 0.00 μB per cell; Fermi-level density of states = 1.113 states/eV per atom; calculated volume = 79.8 Å³/f.u.; ΔH_f (0 K) = 0.413 eV/atom; E_tot = -8.279 eV per atom
1.0
7.625 0.000 0.000
0.000 7.625 0.000
0.000 0.000 2.747
Os Ir Au
4 4 2
direct
0.623 0.123 0.000
0.377 0.877 0.000
0.123 0.377 0.000
0.877 0.623 0.000
0.670 0.830 0.500
0.830 0.330 0.500
0.330 0.170 0.500
0.170 0.670 0.500
0.500 0.500 0.000
0.000 0.000 0.000

***

Ir2OsAu | the Alexandria database | PBE | optimized geometry; spin magnetization = 0.00 μB per cell; Fermi-level density of states = 1.695 states/eV per atom; calculated volume = 60.9 Å³/f.u.; ΔH_f (0 K) = 0.539 eV/atom; E_tot = -7.518 eV per atom
1.0
-1.828 3.312 1.074
-2.381 -0.302 -3.121
-2.546 -2.101 2.145
Au Ir Os
1 2 1
direct
0.500 0.000 0.500
0.000 0.500 0.500
0.000 0.000 0.000
0.500 0.500 0.000

***

Ir2OsAu | the Alexandria database | PBE | optimized geometry; spin magnetization = 0.00 μB per cell; Fermi-level density of states = 0.789 states/eV per atom; calculated volume = 61.3 Å³/f.u.; ΔH_f (0 K) = 0.151 eV/atom; E_tot = -7.906 eV per atom
1.0
-1.255 -0.678 -2.382
-2.269 -0.755 1.411
-2.840 7.397 -0.608
Os Ir Au
1 2 1
direct
0.500 0.500 0.250
0.000 0.000 0.480
0.000 0.000 0.020
0.500 0.500 0.750

***

Ir2OsAu | the Alexandria database | PBE | optimized geometry; spin magnetization = 2.98 μB per cell; Fermi-level density of states = 0.483 states/eV per atom; calculated volume = 63.1 Å³/f.u.; ΔH_f (0 K) = 0.726 eV/atom; E_tot = -7.331 eV per atom
1.0
-1.318 -0.562 4.233
-2.038 3.335 2.167
-4.354 -0.293 0.965
Au Ir Os
1 2 1
direct
0.500 0.500 0.500
0.250 0.250 0.250
0.750 0.750 0.750
0.000 0.000 0.000

***

Ir2OsAu | the Alexandria database | PBE | optimized geometry; spin magnetization = 0.05 μB per cell; Fermi-level density of states = 1.647 states/eV per atom; calculated volume = 61.2 Å³/f.u.; ΔH_f (0 K) = 0.264 eV/atom; E_tot = -7.793 eV per atom
1.0
-2.461 -5.439 -7.146
-3.897 -6.714 -5.142
-4.981 -4.515 -6.442
Au Ir Os
1 2 1
direct
0.750 0.750 0.750
0.996 0.996 0.996
0.249 0.249 0.249
0.505 0.505 0.505

***

Ir2OsAu | the Alexandria database | PBE | optimized geometry; spin magnetization = 0.00 μB per cell; Fermi-level density of states = 0.950 states/eV per atom; calculated volume = 60.8 Å³/f.u.; ΔH_f (0 K) = 0.337 eV/atom; E_tot = -7.720 eV per atom
1.0
-1.686 -0.997 -4.391
0.223 -2.930 -3.806
-3.503 -3.098 1.192
Os Ir Au
1 2 1
direct
0.750 0.750 0.750
0.006 0.006 0.987
0.494 0.494 0.513
0.250 0.250 0.250